1.
First-principles (PBE) data for a relaxed structure of MoAuCl, as listed in Alexandria via LeMat-Bulk.

a b c (Å): 4.3363 4.3363 4.3363
angles (deg): 60.00 60.00 60.00
Closest atoms and distances in Å follow each position.
Sites, in units of the cell vectors:
Au1 0.5000 0.5000 0.5000  4 Cl 2.66
Cl1 0.7500 0.7500 0.7500  4 Mo 2.66, 4 Au 2.66
Mo1 0.0000 0.0000 0.0000  4 Cl 2.66

## Properties
size of the total moment = 1.5 μB per cell
symmetry = No. 216
DFT total energy = -4.071 eV per atom
D(E_F) = 2.8 states/eV per cell

2.
First-principles (PBE) data for a relaxed structure of Mo2AuCl, as listed in Alexandria via LeMat-Bulk.

a b c (Å): 4.5800 4.5800 4.5800
angles (deg): 60.00 60.00 60.00
Closest atoms and distances in Å follow each position.
Sites, in units of the cell vectors:
Au1 0.5000 0.5000 0.5000  4 Cl 2.80, 4 Mo 2.80
Cl1 0.2500 0.2500 0.2500  4 Mo 2.80, 4 Au 2.80
Mo1 0.0000 0.0000 0.0000  4 Cl 2.80, 4 Mo 2.80
Mo2 0.7500 0.7500 0.7500  4 Mo 2.80, 4 Au 2.80

## Properties
size of the total moment = 0.0 μB per cell
symmetry = No. 216
DFT total energy = -5.749 eV per atom
D(E_F) = 2.9 states/eV per cell